Entry 1:
Below is a geometry-optimized Sm3MgAg structure, with properties calculated at the PBE level.

Symmetry = Cmcm (63)
Volume = 284.7 Å³/cell
ΔE_f = -108 meV per atom
Relative energy among the computed polymorphs = 0.00 eV/f.u.
Size of the total moment = 0.00 Bohr magnetons per cell

a b c (Å): 10.532 10.532 5.284
angles (deg): 90.00 90.00 150.94
Element x y z (fractional)
Sm: 0.059 0.941 0.750
Sm: 0.249 0.751 0.750
Sm: 0.437 0.563 0.750
Sm: 0.563 0.437 0.250
Sm: 0.751 0.249 0.250
Sm: 0.941 0.059 0.250
Mg: 0.154 0.846 0.250
Mg: 0.846 0.154 0.750
Ag: 0.339 0.661 0.250
Ag: 0.661 0.339 0.750

=====

Entry 2:
Below is a geometry-optimized Sm5MgAg4 structure, with properties calculated at the PBE level.

Symmetry = P4/mmm (123)
Volume = 260.7 Å³/cell
ΔE_f = -243 meV per atom
Size of the total moment = 0.00 Bohr magnetons per cell

a b c (Å): 3.733 3.733 18.707
angles (deg): 90.00 90.00 90.00
Element x y z (fractional)
Sm: 0.000 0.000 0.000
Sm: 0.000 0.000 0.198
Sm: 0.000 0.000 0.395
Sm: 0.000 0.000 0.605
Sm: 0.000 0.000 0.802
Mg: 0.500 0.500 0.500
Ag: 0.500 0.500 0.098
Ag: 0.500 0.500 0.298
Ag: 0.500 0.500 0.702
Ag: 0.500 0.500 0.902